Here is a relaxed structure of Rb2Tb10C4Br19 from the Alexandria database. Energies are from GGA-PBE.

formation energy (no corrections): -56.16 eV/f.u.

a b c (Å): 12.871 23.517 14.609
angles (deg): 90.00 90.00 90.00
Fractional positions:
Rb1 0.000 0.000 0.000
Rb2 0.000 0.000 0.500
Rb3 0.000 0.275 0.250
Rb4 0.000 0.725 0.750
Rb5 0.500 0.225 0.750
Rb6 0.500 0.500 0.000
Rb7 0.500 0.500 0.500
Rb8 0.500 0.775 0.250
Tb1 0.101 0.328 0.688
Tb2 0.101 0.672 0.188
Tb3 0.111 0.174 0.683
Tb4 0.111 0.826 0.183
Tb5 0.116 0.479 0.687
Tb6 0.116 0.521 0.187
Tb7 0.128 0.237 0.913
Tb8 0.128 0.763 0.413
Tb9 0.132 0.413 0.914
Tb10 0.132 0.587 0.414
Tb11 0.368 0.087 0.414
Tb12 0.368 0.913 0.914
Tb13 0.372 0.263 0.413
Tb14 0.372 0.737 0.913
Tb15 0.384 0.021 0.187
Tb16 0.384 0.979 0.687
Tb17 0.389 0.326 0.183
Tb18 0.389 0.674 0.683
Tb19 0.399 0.172 0.188
Tb20 0.399 0.828 0.688
Tb21 0.601 0.172 0.312
Tb22 0.601 0.828 0.812
Tb23 0.611 0.326 0.317
Tb24 0.611 0.674 0.817
Tb25 0.616 0.021 0.313
Tb26 0.616 0.979 0.813
Tb27 0.628 0.263 0.087
Tb28 0.628 0.737 0.587
Tb29 0.632 0.087 0.086
Tb30 0.632 0.913 0.586
Tb31 0.868 0.413 0.586
Tb32 0.868 0.587 0.086
Tb33 0.872 0.237 0.587
Tb34 0.872 0.763 0.087
Tb35 0.884 0.479 0.813
Tb36 0.884 0.521 0.313
Tb37 0.889 0.174 0.817
Tb38 0.889 0.826 0.317
Tb39 0.899 0.328 0.812
Tb40 0.899 0.672 0.312
C1 0.031 0.244 0.790
C2 0.031 0.410 0.791
C3 0.031 0.590 0.291
C4 0.031 0.756 0.290
C5 0.469 0.090 0.291
C6 0.469 0.256 0.290
C7 0.469 0.744 0.790
C8 0.469 0.910 0.791
C9 0.531 0.090 0.209
C10 0.531 0.256 0.210
C11 0.531 0.744 0.710
C12 0.531 0.910 0.709
C13 0.969 0.244 0.710
C14 0.969 0.410 0.709
C15 0.969 0.590 0.209
C16 0.969 0.756 0.210
Br1 0.000 0.079 0.750
Br2 0.000 0.426 0.250
Br3 0.000 0.500 0.000
Br4 0.000 0.500 0.500
Br5 0.000 0.574 0.750
Br6 0.000 0.921 0.250
Br7 0.005 0.326 0.002
Br8 0.005 0.674 0.502
Br9 0.007 0.156 0.507
Br10 0.007 0.844 0.007
Br11 0.235 0.174 0.341
Br12 0.235 0.826 0.841
Br13 0.237 0.007 0.334
Br14 0.237 0.340 0.328
Br15 0.237 0.660 0.828
Br16 0.237 0.993 0.834
Br17 0.244 0.250 0.101
Br18 0.244 0.750 0.601
Br19 0.246 0.405 0.596
Br20 0.246 0.595 0.096
Br21 0.248 0.074 0.594
Br22 0.248 0.926 0.094
Br23 0.252 0.426 0.094
Br24 0.252 0.574 0.594
Br25 0.254 0.095 0.096
Br26 0.254 0.905 0.596
Br27 0.256 0.250 0.601
Br28 0.256 0.750 0.101
Br29 0.263 0.160 0.828
Br30 0.263 0.493 0.834
Br31 0.263 0.507 0.334
Br32 0.263 0.840 0.328
Br33 0.265 0.326 0.841
Br34 0.265 0.674 0.341
Br35 0.493 0.344 0.007
Br36 0.493 0.656 0.507
Br37 0.495 0.174 0.502
Br38 0.495 0.826 0.002
Br39 0.500 0.000 0.000
Br40 0.500 0.000 0.500
Br41 0.500 0.074 0.750
Br42 0.500 0.421 0.250
Br43 0.500 0.579 0.750
Br44 0.500 0.926 0.250
Br45 0.505 0.174 0.998
Br46 0.505 0.826 0.498
Br47 0.507 0.344 0.493
Br48 0.507 0.656 0.993
Br49 0.735 0.326 0.659
Br50 0.735 0.674 0.159
Br51 0.737 0.160 0.672
Br52 0.737 0.493 0.666
Br53 0.737 0.507 0.166
Br54 0.737 0.840 0.172
Br55 0.744 0.250 0.899
Br56 0.744 0.750 0.399
Br57 0.746 0.095 0.404
Br58 0.746 0.905 0.904
Br59 0.748 0.426 0.406
Br60 0.748 0.574 0.906
Br61 0.752 0.074 0.906
Br62 0.752 0.926 0.406
Br63 0.754 0.405 0.904
Br64 0.754 0.595 0.404
Br65 0.756 0.250 0.399
Br66 0.756 0.750 0.899
Br67 0.763 0.007 0.166
Br68 0.763 0.340 0.172
Br69 0.763 0.660 0.672
Br70 0.763 0.993 0.666
Br71 0.765 0.174 0.159
Br72 0.765 0.826 0.659
Br73 0.993 0.156 0.993
Br74 0.993 0.844 0.493
Br75 0.995 0.326 0.498
Br76 0.995 0.674 0.998